! Al3NiMo PBE relaxed; values from VASP
! **Uncorrected energy**: -25.93 eV/cell
! **Formation energy from the elements**: 0.38 eV per atom
&SYSTEM
  ibrav = 0, nat = 5, ntyp = 3
/
ATOMIC_SPECIES
Al 26.98 Al.upf
Ni 58.69 Ni.upf
Mo 95.94 Mo.upf
CELL_PARAMETERS angstrom
4.3675 0.0000 0.0000
0.0000 4.3675 0.0000
0.0000 0.0000 4.3675
ATOMIC_POSITIONS crystal
Al 0.0000 0.0000 0.5000
Al 0.0000 0.5000 0.0000
Al 0.5000 0.0000 0.0000
Ni 0.0000 0.0000 0.0000
Mo 0.5000 0.5000 0.5000